This record from the Open Quantum Materials Database describes TbH3 after structural relaxation. The functional is PBE.

space group = Fm-3m (225)
VASP energy = -4.232 eV/atom

Cell lengths 3.635, 3.635, 3.635 Å; angles 60.00, 60.00, 60.00 degrees
Positions (direct):
1 Tb 0.000 0.000 0.000
2 H 0.250 0.250 0.250
3 H 0.500 0.500 0.500
4 H 0.750 0.750 0.750


This record from the Open Quantum Materials Database describes TbH3 after structural relaxation. The functional is PBE.

space group = P4_2/mnm (136)
VASP energy = -3.862 eV/atom

Cell lengths 5.536, 5.536, 8.054 Å; angles 90.00, 90.00, 90.00 degrees
Positions (direct):
1 Tb 0.000 0.000 0.223
2 Tb 0.000 0.000 0.777
3 Tb 0.500 0.500 0.277
4 Tb 0.500 0.500 0.723
5 H 0.160 0.160 0.000
6 H 0.238 0.238 0.339
7 H 0.238 0.238 0.661
8 H 0.262 0.738 0.161
9 H 0.262 0.738 0.839
10 H 0.340 0.660 0.500
11 H 0.660 0.340 0.500
12 H 0.738 0.262 0.161
13 H 0.738 0.262 0.839
14 H 0.762 0.762 0.339
15 H 0.762 0.762 0.661
16 H 0.840 0.840 0.000


This record from the Open Quantum Materials Database describes TbH3 after structural relaxation. The functional is PBE.

space group = Pnma (62)
VASP energy = -4.287 eV/atom

Cell lengths 6.338, 6.542, 3.666 Å; angles 90.00, 90.00, 90.00 degrees
Positions (direct):
1 Tb 0.166 0.250 0.000
2 Tb 0.334 0.750 0.500
3 Tb 0.666 0.250 0.500
4 Tb 0.834 0.750 0.000
5 H 0.000 0.250 0.500
6 H 0.000 0.750 0.500
7 H 0.167 0.595 0.001
8 H 0.167 0.905 0.001
9 H 0.333 0.095 0.501
10 H 0.333 0.405 0.501
11 H 0.500 0.250 0.000
12 H 0.500 0.750 0.000
13 H 0.667 0.595 0.499
14 H 0.667 0.905 0.499
15 H 0.833 0.095 0.999
16 H 0.833 0.405 0.999


This record from the Open Quantum Materials Database describes Tb5H after structural relaxation. The functional is PBE.

space group = P6/mmm (191)
VASP energy = -3.407 eV/atom

Cell lengths 6.430, 6.430, 5.938 Å; angles 90.00, 90.00, 120.00 degrees
Positions (direct):
1 Tb 0.000 0.500 0.000
2 Tb 0.333 0.667 0.500
3 Tb 0.500 0.000 0.000
4 Tb 0.500 0.500 0.000
5 Tb 0.667 0.333 0.500
6 H 0.000 0.000 0.500


This record from the Open Quantum Materials Database describes TbYH4 after structural relaxation. The functional is PBE.

space group = P4/mmm (123)
VASP energy = -4.798 eV/atom

Cell lengths 3.667, 3.667, 5.183 Å; angles 90.00, 90.00, 90.00 degrees
Positions (direct):
1 Tb 0.000 0.000 0.000
2 Y 0.500 0.500 0.500
3 H 0.000 0.500 0.250
4 H 0.000 0.500 0.750
5 H 0.500 0.000 0.250
6 H 0.500 0.000 0.750


This record from the Open Quantum Materials Database describes TcH after structural relaxation. The functional is PBE.

space group = Fm-3m (225)
VASP energy = -6.877 eV/atom

Cell lengths 2.847, 2.847, 2.847 Å; angles 60.00, 60.00, 60.00 degrees
Positions (direct):
1 Tc 0.000 0.000 0.000
2 H 0.500 0.500 0.500


This record from the Open Quantum Materials Database describes TcH after structural relaxation. The functional is PBE.

space group = P-6m2 (187)
VASP energy = -6.363 eV/atom

Cell lengths 2.722, 2.722, 2.768 Å; angles 90.00, 90.00, 120.00 degrees
Positions (direct):
1 Tc 0.000 0.000 0.000
2 H 0.333 0.667 0.500


This record from the Open Quantum Materials Database describes TcH after structural relaxation. The functional is PBE.

space group = F-43m (216)
VASP energy = -6.701 eV/atom

Cell lengths 2.924, 2.924, 2.924 Å; angles 60.00, 60.00, 60.00 degrees
Positions (direct):
1 Tc 0.000 0.000 0.000
2 H 0.250 0.250 0.250


This record from the Open Quantum Materials Database describes Tc2H after structural relaxation. The functional is PBE.

space group = Fd-3m (227)
VASP energy = -6.347 eV/atom

Cell lengths 5.034, 5.034, 5.034 Å; angles 60.00, 60.00, 60.00 degrees
Positions (direct):
1 Tc 0.000 0.000 0.000
2 Tc 0.000 0.000 0.500
3 Tc 0.000 0.500 0.000
4 Tc 0.500 0.000 0.000
5 H 0.375 0.375 0.375
6 H 0.625 0.625 0.625


This record from the Open Quantum Materials Database describes TcH2 after structural relaxation. The functional is PBE.

space group = Fd-3m (227)
VASP energy = -5.075 eV/atom

Cell lengths 3.962, 3.962, 3.962 Å; angles 60.00, 60.00, 60.00 degrees
Positions (direct):
1 Tc 0.125 0.125 0.125
2 Tc 0.875 0.875 0.875
3 H 0.000 0.500 0.500
4 H 0.500 0.000 0.500
5 H 0.500 0.500 0.000
6 H 0.500 0.500 0.500


This record from the Open Quantum Materials Database describes TcH2 after structural relaxation. The functional is PBE.

space group = Fd-3m (227)
VASP energy = -4.495 eV/atom

Cell lengths 5.463, 5.463, 5.463 Å; angles 60.00, 60.00, 60.00 degrees
Positions (direct):
1 Tc 0.125 0.125 0.125
2 Tc 0.875 0.875 0.875
3 H 0.000 0.000 0.000
4 H 0.000 0.000 0.500
5 H 0.000 0.500 0.000
6 H 0.500 0.000 0.000


This record from the Open Quantum Materials Database describes TcH2 after structural relaxation. The functional is PBE.

space group = P2_1/c (14)
VASP energy = -5.585 eV/atom

Cell lengths 5.179, 4.103, 4.062 Å; angles 90.00, 113.05, 90.00 degrees
Positions (direct):
1 Tc 0.194 0.003 0.347
2 Tc 0.194 0.497 0.847
3 Tc 0.806 0.503 0.153
4 Tc 0.806 0.997 0.653
5 H 0.203 0.539 0.353
6 H 0.203 0.961 0.853
7 H 0.462 0.250 0.231
8 H 0.462 0.250 0.731
9 H 0.538 0.750 0.269
10 H 0.538 0.750 0.769
11 H 0.797 0.039 0.147
12 H 0.797 0.461 0.647


The highest VASP energy belongs to which entry? Tb5H